DFT (GGA-PBE) results for HfTi2CoNi after structural relaxation.

```
data_HfTi2CoNi
_chemical_formula_sum 'Hf1 Ti2 Co1 Ni1'
_symmetry_space_group_name_H-M 'P 4/m m m'
_symmetry_Int_Tables_number 123
_symmetry_space_group_name_Hall '-P 4 2'
_cell_length_a 4.829
_cell_length_b 4.829
_cell_length_c 4.346
_cell_angle_alpha 90.00
_cell_angle_beta 90.00
_cell_angle_gamma 90.00
loop_
_atom_site_label
_atom_site_type_symbol
_atom_site_fract_x
_atom_site_fract_y
_atom_site_fract_z
_atom_site_occupancy
Hf1 Hf 0.000 0.000 0.000 1
Ti1 Ti 0.000 0.500 0.000 1
Co1 Co 0.000 0.000 0.500 1
Ni1 Ni 0.500 0.500 0.500 1
```

Values from the calculation:
DFT formation energy = 1.474 eV per atom
E_tot = -6.252 eV per atom
M_tot = 1.0 μB per cell